Material: MgTa3
Method: DFT, GGA-PBE
State: optimized geometry

ΔE_f (eV per atom): 0.27
Total moment (μB/cell): 0.000
Space group: Cmcm (63)
Electronic total energy (eV for the cell shown): -72.2

Lattice parameters (Å, degrees): 5.7375 5.7375 4.5347 90.00 90.00 84.72
Atoms (fractional coordinates):
Mg  0.0965  0.9035  0.7500
Mg  0.9035  0.0965  0.2500
Ta  0.1568  0.4048  0.7500
Ta  0.3444  0.6556  0.2500
Ta  0.4048  0.1568  0.2500
Ta  0.5952  0.8432  0.7500
Ta  0.6556  0.3444  0.7500
Ta  0.8432  0.5952  0.2500